# 1
Below is a relaxed SiH8 crystal, with properties calculated at the PBE-GGA level.

abc: 4.8811 4.8811 4.8811
angles: 118.71 118.71 92.26
Element x y z (fractional)
H: 0.1275 0.3716 0.2440
H: 0.1275 0.8835 0.7560
H: 0.4446 0.4446 0.0000
H: 0.1165 0.8725 0.2440
H: 0.6284 0.8725 0.7560
H: 0.5554 0.5554 0.0000
H: 0.8057 0.3057 0.5000
Si: 0.0000 0.0000 0.0000
H: 0.6943 0.1943 0.5000

Results
DOS(E_F) = 0.0 states/eV per cell
Symmetry = I-4m2, No. 119
Electronic total energy = -3.584 eV per atom

# 2
Below is a relaxed SiH2 crystal, with properties calculated at the PBE-GGA level.

abc: 2.6447 2.5987 5.3322
angles: 120.47 104.32 60.62
Element x y z (fractional)
Si: 0.7447 0.1702 0.3100
H: 0.7458 0.8234 0.9735
H: 0.7437 0.5171 0.6466

Results
DOS(E_F) = 0.2 states/eV per cell
Symmetry = P-1, No. 2
Distance to the lowest polymorph of the same formula = 0.298 eV/atom
Electronic total energy = -3.723 eV per atom

# 3
Below is a relaxed Si2H13 crystal, with properties calculated at the PBE-GGA level.

abc: 4.8826 6.6864 7.7497
angles: 137.90 107.77 90.79
Site moments in Bohr magnetons follow the coordinates.
Element x y z (fractional)
H: 0.3027 0.5238 0.6027  0.01
H: 0.5390 0.5896 0.0587  0.00
H: 0.9929 0.4929 0.8447  0.00
H: 0.1760 0.5394 0.2223  0.00
Si: 0.1684 0.1633 0.3343  0.20
H: 0.0800 0.9688 0.6658  0.00
H: 0.8240 0.4606 0.7777  0.00
Si: 0.8316 0.8367 0.6657  0.20
H: 0.6973 0.4762 0.3973  0.01
H: 0.4610 0.4104 0.9413  0.00
H: 0.0000 0.0000 0.0000  -0.01
H: 0.9200 0.0312 0.3342  0.00
H: 0.0071 0.5071 0.1553  0.00
H: 0.5802 0.9613 0.6662  0.00
H: 0.4198 0.0387 0.3338  0.00

Results
DOS(E_F) = 0.1 states/eV per cell
Symmetry = P-1, No. 2
Electronic total energy = -3.505 eV per atom

# 4
Below is a relaxed SiH2 crystal, with properties calculated at the PBE-GGA level.

abc: 8.4335 5.9082 2.4443
angles: 90.00 90.00 90.00
Element x y z (fractional)
H: 0.7500 0.2500 0.0000
Si: 0.6408 0.0000 0.0000
H: 0.2500 0.2500 0.0000
Si: 0.1408 0.5000 0.0000
Si: 0.8592 0.5000 0.0000
H: 0.7500 0.7500 0.0000
H: 0.0000 0.0642 0.5000
H: 0.2500 0.7500 0.0000
H: 0.0000 0.9358 0.5000
H: 0.5000 0.5642 0.5000
H: 0.5000 0.4358 0.5000
Si: 0.3592 0.0000 0.0000

Results
DOS(E_F) = 1.2 states/eV per cell
Symmetry = Cmmm, No. 65
Distance to the lowest polymorph of the same formula = 0.257 eV/atom
Electronic total energy = -3.765 eV per atom

# 5
Below is a relaxed SiH8 crystal, with properties calculated at the PBE-GGA level.

abc: 4.9628 4.9528 6.8160
angles: 90.00 90.00 90.00
Element x y z (fractional)
H: 0.7551 0.7540 0.2319
H: 0.5000 0.7065 0.5558
Si: 0.0000 0.7525 0.3583
H: 0.0000 0.7099 0.8073
H: 0.2449 0.7540 0.2319
H: 0.5000 0.2228 0.4059
H: 0.7449 0.2460 0.7319
H: 0.0000 0.9986 0.4842
H: 0.5000 0.7625 0.6585
H: 0.5000 0.4925 0.9848
H: 0.5000 0.0014 0.9842
H: 0.0000 0.7772 0.9059
Si: 0.5000 0.2475 0.8583
H: 0.0000 0.2375 0.1585
H: 0.0000 0.5075 0.4848
H: 0.2551 0.2460 0.7319
H: 0.0000 0.2935 0.0558
H: 0.5000 0.2901 0.3073

Results
DOS(E_F) = 0.0 states/eV per cell
Symmetry = Pmn2_1, No. 31
Electronic total energy = -3.584 eV per atom

# 6
Below is a relaxed SiH2 crystal, with properties calculated at the PBE-GGA level.

abc: 4.8733 3.9073 8.3893
angles: 90.00 90.47 90.00
Element x y z (fractional)
H: 0.1463 0.0000 0.8574
H: 0.2343 0.5000 0.0745
H: 0.8537 0.0000 0.1426
Si: 0.3690 0.0000 0.7354
H: 0.2343 0.0000 0.5745
H: 0.7657 0.5000 0.9255
H: 0.7657 0.0000 0.4255
H: 0.1463 0.5000 0.3574
Si: 0.3690 0.5000 0.2354
H: 0.8537 0.5000 0.6427
Si: 0.6310 0.0000 0.2646
Si: 0.6310 0.5000 0.7646

Results
DOS(E_F) = 0.0 states/eV per cell
Symmetry = C2/m, No. 12
Distance to the lowest polymorph of the same formula = 0.000 eV/atom
Electronic total energy = -4.022 eV per atom

# 7
Below is a relaxed SiH2 crystal, with properties calculated at the PBE-GGA level.

abc: 4.3476 4.7188 6.7135
angles: 90.00 91.71 90.00
Element x y z (fractional)
Si: 0.4339 0.0000 0.2486
Si: 0.5661 0.0000 0.7514
H: 0.5000 0.0000 0.0000
H: 0.0872 0.5000 0.7422
Si: 0.5661 0.5000 0.2514
H: 0.5000 0.5000 0.5000
Si: 0.4339 0.5000 0.7486
H: 0.5000 0.0000 0.5000
H: 0.0872 0.0000 0.2422
H: 0.9128 0.5000 0.2578
H: 0.9128 0.0000 0.7578
H: 0.5000 0.5000 0.0000

Results
DOS(E_F) = 1.9 states/eV per cell
Symmetry = C2/m, No. 12
Distance to the lowest polymorph of the same formula = 0.200 eV/atom
Electronic total energy = -3.821 eV per atom

# 8
Below is a relaxed SiH2 crystal, with properties calculated at the PBE-GGA level.

abc: 4.8200 3.9165 4.8477
angles: 90.00 118.54 90.00
Element x y z (fractional)
H: 0.6653 0.7500 0.9539
Si: 0.3690 0.2500 0.3696
H: 0.0434 0.2500 0.3348
H: 0.9566 0.7500 0.6652
Si: 0.6310 0.7500 0.6304
H: 0.3347 0.2500 0.0461

Results
DOS(E_F) = 0.0 states/eV per cell
Symmetry = P2_1/m, No. 11
Distance to the lowest polymorph of the same formula = 0.000 eV/atom
Electronic total energy = -4.022 eV per atom

# 9
Below is a relaxed SiH2 crystal, with properties calculated at the PBE-GGA level.

abc: 2.4222 2.4220 5.8824
angles: 92.27 88.07 84.25
Element x y z (fractional)
H: 0.4033 0.0303 0.2621
H: 0.4182 0.0101 0.1321
Si: 0.4052 0.0295 0.6967

Results
DOS(E_F) = 0.3 states/eV per cell
Symmetry = P1, No. 1
Distance to the lowest polymorph of the same formula = 0.309 eV/atom
Electronic total energy = -3.712 eV per atom

# 10
Below is a relaxed SiH2 crystal, with properties calculated at the PBE-GGA level.

abc: 3.4037 4.1830 4.1979
angles: 109.96 89.80 144.34
Element x y z (fractional)
H: 0.4850 0.3148 0.6935
Si: 0.9850 0.3148 0.6935
H: 0.4849 0.8147 0.1935

Results
DOS(E_F) = 0.3 states/eV per cell
Symmetry = P-1, No. 2
Distance to the lowest polymorph of the same formula = 0.227 eV/atom
Electronic total energy = -3.794 eV per atom

# 11
Below is a relaxed Sm3SiH crystal, with properties calculated at the PBE-GGA level.

abc: 4.7657 4.7657 4.7657
angles: 90.00 90.00 90.00
Element x y z (fractional)
Si: 0.5000 0.5000 0.5000
H: 0.0000 0.0000 0.0000
Sm: 0.0000 0.5000 0.0000
Sm: 0.0000 0.0000 0.5000
Sm: 0.5000 0.0000 0.0000

Results
DOS(E_F) = 4.8 states/eV per cell
Symmetry = Pm-3m, No. 221
Distance to the lowest polymorph of the same formula = 0.062 eV/atom
Electronic total energy = -4.917 eV per atom

# 12
Below is a relaxed Sm4Si2H crystal, with properties calculated at the PBE-GGA level.

abc: 6.3806 6.4818 8.6108
angles: 90.00 109.42 90.00
Element x y z (fractional)
Si: 0.2870 0.2500 0.9526
Sm: 0.5124 0.5001 0.2647
Si: 0.2375 0.2500 0.4283
Sm: 0.4876 0.0001 0.7353
Sm: 0.0685 0.7500 0.3790
Si: 0.7130 0.7500 0.0474
Si: 0.7625 0.7500 0.5717
Sm: 0.9080 0.2500 0.0900
H: 0.2487 0.7500 0.1889
Sm: 0.0920 0.7500 0.9100
Sm: 0.5124 0.9999 0.2647
Sm: 0.4876 0.4999 0.7353
Sm: 0.9315 0.2500 0.6210
H: 0.7513 0.2500 0.8111

Results
DOS(E_F) = 10.2 states/eV per cell
Symmetry = P2_1/m, No. 11
Distance to the lowest polymorph of the same formula = 0.000 eV/atom
Electronic total energy = -5.257 eV per atom

# 13
Below is a relaxed Sm4Si2H crystal, with properties calculated at the PBE-GGA level.

abc: 4.4951 4.4951 8.7202
angles: 75.06 75.06 90.00
Element x y z (fractional)
Sm: 0.8178 0.8178 0.3644
Sm: 0.1822 0.1822 0.6356
Sm: 0.5000 0.0000 0.0000
Sm: 0.0000 0.5000 0.0000
Si: 0.6343 0.6343 0.7315
H: 0.0000 0.0000 0.0000
Si: 0.3657 0.3657 0.2685

Results
DOS(E_F) = 6.2 states/eV per cell
Symmetry = I4/mmm, No. 139
Distance to the lowest polymorph of the same formula = 0.014 eV/atom
Electronic total energy = -5.244 eV per atom

# 14
Below is a relaxed Sm3SiH2 crystal, with properties calculated at the PBE-GGA level.

abc: 3.8843 4.9571 12.1238
angles: 90.00 90.00 90.00
Element x y z (fractional)
Sm: 0.7428 0.0000 0.8109
Sm: 0.1858 0.0000 0.5000
Si: 0.7397 0.5000 0.5000
H: 0.2379 0.0000 0.6956
Sm: 0.7428 0.0000 0.1891
H: 0.7621 0.5000 0.1956
H: 0.7621 0.5000 0.8044
Si: 0.2603 0.0000 0.0000
Sm: 0.2572 0.5000 0.6891
H: 0.2379 0.0000 0.3044
Sm: 0.8142 0.5000 0.0000
Sm: 0.2572 0.5000 0.3109

Results
DOS(E_F) = 5.9 states/eV per cell
Symmetry = Pmmn, No. 59
Electronic total energy = -4.850 eV per atom

# 15
Below is a relaxed Sm3SiH crystal, with properties calculated at the PBE-GGA level.

abc: 3.9729 7.3156 8.0897
angles: 93.87 90.00 90.00
Element x y z (fractional)
Sm: 0.2500 0.3730 0.6221
Sm: 0.7500 0.0850 0.3335
Sm: 0.7500 0.6270 0.3779
Sm: 0.2500 0.9150 0.6665
H: 0.2500 0.8506 0.3569
Sm: 0.2500 0.7293 0.0404
Si: 0.2500 0.3722 0.2285
Sm: 0.7500 0.2707 0.9596
H: 0.7500 0.1494 0.6431
Si: 0.7500 0.6278 0.7715

Results
DOS(E_F) = 11.2 states/eV per cell
Symmetry = P2_1/m, No. 11
Distance to the lowest polymorph of the same formula = 0.000 eV/atom
Electronic total energy = -4.978 eV per atom

# 16
Below is a relaxed Sm8Si3Te4H crystal, with properties calculated at the PBE-GGA level.

abc: 8.5260 8.6961 8.5262
angles: 119.35 120.00 90.00
Element x y z (fractional)
Sm: 0.7333 0.7227 0.9780
Te: 0.5000 0.0000 0.5000
Sm: 0.2447 0.7227 0.4895
Sm: 0.2667 0.2773 0.0220
Te: 0.0000 0.0000 0.5000
Sm: 0.7407 0.7220 0.4814
Te: 0.5000 0.0000 0.0000
Sm: 0.7553 0.2773 0.5105
H: 0.0000 0.5000 0.0000
Sm: 0.7553 0.2773 0.0220
Si: 0.5000 0.5000 0.5000
Si: 0.5000 0.5000 0.0000
Te: 0.0000 0.0000 0.0000
Sm: 0.2593 0.2780 0.5186
Si: 0.0000 0.5000 0.5000
Sm: 0.2447 0.7227 0.9780

Results
DOS(E_F) = 5.7 states/eV per cell
Symmetry = R-3m, No. 166
Electronic total energy = -5.400 eV per atom

# 17
Below is a relaxed SiSnH2 crystal, with properties calculated at the PBE-GGA level.

abc: 4.0776 4.0776 4.0776
angles: 60.00 60.00 60.00
Element x y z (fractional)
Si: 0.0000 0.0000 0.0000
H: 0.2500 0.2500 0.2500
H: 0.7500 0.7500 0.7500
Sn: 0.5000 0.5000 0.5000

Results
DOS(E_F) = 1.8 states/eV per cell
Symmetry = Fm-3m, No. 225
Distance to the lowest polymorph of the same formula = 0.265 eV/atom
Electronic total energy = -3.245 eV per atom

# 18
Below is a relaxed SiSnH2 crystal, with properties calculated at the PBE-GGA level.

abc: 4.5763 4.5763 6.0302
angles: 67.70 67.70 90.00
Element x y z (fractional)
H: 0.3261 0.6250 0.2500
Si: 0.2500 0.7500 0.5000
H: 0.8750 0.6739 0.7500
Si: 0.5000 0.5000 0.0000
H: 0.4239 0.1250 0.2500
Sn: 0.0000 0.0000 0.0000
Sn: 0.7500 0.2500 0.5000
H: 0.3750 0.5761 0.7500

Results
DOS(E_F) = 1.2 states/eV per cell
Symmetry = I-42d, No. 122
Distance to the lowest polymorph of the same formula = 0.000 eV/atom
Electronic total energy = -3.510 eV per atom

# 19
Below is a relaxed SiSn2H crystal, with properties calculated at the PBE-GGA level.

abc: 5.7904 5.7904 6.6730
angles: 64.29 64.29 90.00
Element x y z (fractional)
Sn: 0.1893 0.6250 0.2500
H: 0.2500 0.7500 0.5000
Sn: 0.8750 0.8107 0.7500
Sn: 0.5607 0.1250 0.2500
H: 0.5000 0.5000 0.0000
Si: 0.0000 0.0000 0.0000
Si: 0.7500 0.2500 0.5000
Sn: 0.3750 0.4393 0.7500

Results
DOS(E_F) = 4.4 states/eV per cell
Symmetry = I-42d, No. 122
Distance to the lowest polymorph of the same formula = 0.000 eV/atom
Electronic total energy = -3.721 eV per atom

# 20
Below is a relaxed SiSn2H crystal, with properties calculated at the PBE-GGA level.

abc: 4.7330 4.7330 4.7330
angles: 60.00 60.00 60.00
Element x y z (fractional)
Si: 0.5000 0.5000 0.5000
Sn: 0.2500 0.2500 0.2500
H: 0.0000 0.0000 0.0000
Sn: 0.7500 0.7500 0.7500

Results
DOS(E_F) = 1.7 states/eV per cell
Symmetry = Fm-3m, No. 225
Distance to the lowest polymorph of the same formula = 0.015 eV/atom
Electronic total energy = -3.706 eV per atom